Compound: MgFe2O4
Source: Alexandria via LeMat-Bulk
Functional: PBE with a Hubbard U
Structure: optimized geometry

Properties
- SG: C2/m
- Polymorph energy (0 for the lowest one): 6.62 kcal/mol of atoms
- Total moment: 0.857 μB per atom

Structure (extended XYZ):
```
14
Lattice="7.628 0.030 0.074 7.082 2.833 0.074 5.095 0.992 7.642" Properties=species:S:1:pos:R:3 pbc="T T T"
Mg 14.354 2.794 6.447
Mg 5.451 1.061 1.343
Fe 9.942 1.935 6.239
Fe 14.969 2.914 3.854
Fe 4.836 0.941 3.936
Fe 9.863 1.920 1.551
O 3.564 0.694 2.204
O 11.497 2.238 5.049
O 8.307 1.617 2.741
O 16.241 3.161 5.586
O 17.775 3.460 7.629
O 6.697 1.304 4.917
O 2.030 0.395 0.161
O 13.107 2.551 2.873
```